A geometry-optimized Pm2PrLu structure, computed with PBE-GGA.

abc: 3.6197 3.6197 10.2416
angles: 90.00 90.00 90.00
Closest atoms and distances in Å follow each position.
Positions (direct):
Pm 0.0000 0.0000 0.2419  4 Lu 3.56, 4 Pm 3.62, 4 Pr 3.68
Pm 0.0000 0.0000 0.7581  4 Lu 3.56, 4 Pm 3.62, 4 Pr 3.68
Pr 0.5000 0.5000 0.5000  4 Pr 3.62, 8 Pm 3.68
Lu 0.5000 0.5000 0.0000  8 Pm 3.56, 4 Lu 3.62

Properties
SG = P4/mmm (123)
D(E_F) = 1.527 states/eV/atom
energy above the lowest structure with this stoichiometry = 11 meV/atom
calculated formation energy = 27 meV per atom
total magnetic moment = 0.00 Bohr magnetons per cell